No. 1
A plane-wave DFT calculation with GGA-PBE was carried out for a relaxed structure of La4OsPtCl2.

Computed properties:
Fermi-level density of states   2.54 states/eV/f.u.
Raw formation energy   -1.231 eV/atom

abc: 7.2843 4.2090 7.9984
angles: 90.00 107.56 90.00
Last column: nearest neighbours and their distance in Å.
Atoms (fractional coordinates):
La  0.2250  0.0000  0.2074  2 Os 2.87, 1 Pt 2.96
La  0.2541  0.5000  0.7962  1 Os 2.81, 2 Pt 2.92
La  0.7459  0.5000  0.2038  1 Os 2.81, 2 Pt 2.92
La  0.7750  0.0000  0.7926  2 Os 2.87, 1 Pt 2.96
Os  0.0000  0.5000  0.0000  6 La 2.81-2.87
Pt  0.5000  0.0000  0.0000  6 La 2.92-2.96
Cl  0.0000  0.0000  0.5000  6 La 3.24-3.29
Cl  0.5000  0.5000  0.5000  6 La 3.33-3.37



No. 2
A plane-wave DFT calculation with GGA-PBE was carried out for a relaxed structure of La2OsPtCl.

Computed properties:
Fermi-level density of states   4.77 states/eV/f.u.
Raw formation energy   -0.074 eV/atom

abc: 5.4119 5.4119 4.3020
angles: 90.00 90.00 90.00
Last column: nearest neighbours and their distance in Å.
Atoms (fractional coordinates):
La  0.0000  0.5000  0.0000  2 Cl 2.71
La  0.5000  0.0000  0.0000  2 Cl 2.71
Os  0.0000  0.0000  0.5000  2 Cl 2.15
Pt  0.5000  0.5000  0.5000  8 La 3.46, 4 Os 3.83
Cl  0.0000  0.0000  0.0000  2 Os 2.15



No. 3
A plane-wave DFT calculation with GGA-PBE was carried out for a relaxed structure of La6OsPt2Cl3.

Computed properties:
Fermi-level density of states   6.34 states/eV/f.u.
Raw formation energy   -1.317 eV/atom

abc: 7.3217 7.3217 7.9984
angles: 98.73 98.73 120.06
Last column: nearest neighbours and their distance in Å.
Atoms (fractional coordinates):
La  0.0688  0.3897  0.2067  1 Os 2.83, 2 Pt 2.94
La  0.2528  0.2528  0.7936  1 Os 2.83, 2 Pt 2.94
La  0.3897  0.0688  0.2067  1 Os 2.83, 2 Pt 2.94
La  0.6103  0.9312  0.7933  1 Os 2.83, 2 Pt 2.94
La  0.7472  0.7472  0.2064  1 Os 2.83, 2 Pt 2.94
La  0.9312  0.6103  0.7933  1 Os 2.83, 2 Pt 2.94
Os  0.0000  0.0000  0.0000  6 La 2.83
Pt  0.3329  0.6671  0.0000  6 La 2.94
Pt  0.6671  0.3329  0.0000  6 La 2.94
Cl  0.1615  0.8385  0.5000  6 La 3.24-3.42
Cl  0.5000  0.5000  0.5000  6 La 3.28-3.37
Cl  0.8385  0.1615  0.5000  6 La 3.24-3.42



No. 4
A plane-wave DFT calculation with GGA-PBE was carried out for a relaxed structure of La2OsRhCl.

Computed properties:
Fermi-level density of states   2.73 states/eV/f.u.
Raw formation energy   0.073 eV/atom

abc: 5.3742 5.3742 4.2923
angles: 90.00 90.00 90.00
Last column: nearest neighbours and their distance in Å.
Atoms (fractional coordinates):
La  0.0000  0.5000  0.0000  2 Cl 2.69
La  0.5000  0.0000  0.0000  2 Cl 2.69
Os  0.0000  0.0000  0.5000  8 La 3.44, 4 Rh 3.80
Rh  0.5000  0.5000  0.5000  2 Cl 2.15
Cl  0.5000  0.5000  0.0000  2 Rh 2.15



No. 5
A plane-wave DFT calculation with GGA-PBE was carried out for a relaxed structure of La6OsRh2Cl2.

Computed properties:
Fermi-level density of states   5.80 states/eV/f.u.
Raw formation energy   -0.955 eV/atom

abc: 7.2676 7.2676 7.7981
angles: 98.84 98.84 120.19
Last column: nearest neighbours and their distance in Å.
Atoms (fractional coordinates):
La  0.0684  0.3976  0.2092  1 Os 2.85, 2 Rh 2.86-2.89
La  0.2568  0.2568  0.7915  1 Os 2.82, 2 Rh 2.92
La  0.3976  0.0684  0.2092  1 Os 2.85, 2 Rh 2.86-2.89
La  0.6024  0.9316  0.7908  1 Os 2.85, 2 Rh 2.86-2.89
La  0.7432  0.7432  0.2085  1 Os 2.82, 2 Rh 2.92
La  0.9316  0.6024  0.7908  1 Os 2.85, 2 Rh 2.86-2.89
Os  0.0000  0.0000  0.0000  6 La 2.82-2.85
Rh  0.3306  0.6694  0.0000  6 La 2.86-2.92
Rh  0.6694  0.3306  0.0000  6 La 2.86-2.92
Cl  0.1646  0.8354  0.5000  6 La 3.21-3.29
Cl  0.8354  0.1646  0.5000  6 La 3.21-3.29



No. 6
A plane-wave DFT calculation with GGA-PBE was carried out for a relaxed structure of La6OsRh2Cl3.

Computed properties:
Fermi-level density of states   5.46 states/eV/f.u.
Raw formation energy   -1.183 eV/atom

abc: 9.9414 9.9414 9.0537
angles: 109.58 109.58 24.11
Last column: nearest neighbours and their distance in Å.
Atoms (fractional coordinates):
La  0.0081  0.0081  0.2219  2 Os 2.86, 1 Rh 2.93
La  0.3237  0.3237  0.4413  3 Rh 2.84-2.86
La  0.3462  0.3462  0.8965  1 Os 2.81, 2 Rh 2.91
La  0.6538  0.6538  0.1035  1 Os 2.81, 2 Rh 2.91
La  0.6763  0.6763  0.5587  3 Rh 2.84-2.86
La  0.9919  0.9919  0.7781  2 Os 2.86, 1 Rh 2.93
Os  0.5000  0.5000  0.0000  6 La 2.81-2.86
Rh  0.1685  0.1685  0.3367  6 La 2.84-2.93
Rh  0.8315  0.8315  0.6633  6 La 2.84-2.93
Cl  0.1657  0.1657  0.8325  6 La 3.24-3.36
Cl  0.5000  0.5000  0.5000  6 La 3.28-3.31
Cl  0.8343  0.8343  0.1675  6 La 3.24-3.36



No. 7
A plane-wave DFT calculation with GGA-PBE was carried out for a relaxed structure of La8OsRh3Cl4.

Computed properties:
Fermi-level density of states   5.49 states/eV/f.u.
Raw formation energy   -1.213 eV/atom

abc: 9.0557 9.0557 9.0557
angles: 54.57 54.57 54.57
Last column: nearest neighbours and their distance in Å.
Atoms (fractional coordinates):
La  0.2341  0.2341  0.2341  3 Rh 2.86
La  0.2409  0.7324  0.7324  1 Os 2.84, 2 Rh 2.89
La  0.2676  0.2676  0.7591  1 Os 2.84, 2 Rh 2.89
La  0.2676  0.7591  0.2676  1 Os 2.84, 2 Rh 2.89
La  0.7324  0.2409  0.7324  1 Os 2.84, 2 Rh 2.89
La  0.7324  0.7324  0.2409  1 Os 2.84, 2 Rh 2.89
La  0.7591  0.2676  0.2676  1 Os 2.84, 2 Rh 2.89
La  0.7659  0.7659  0.7659  3 Rh 2.86
Os  0.5000  0.5000  0.5000  6 La 2.84
Rh  0.0000  0.0000  0.5000  6 La 2.86-2.89
Rh  0.0000  0.5000  0.0000  6 La 2.86-2.89
Rh  0.5000  0.0000  0.0000  6 La 2.86-2.89
Cl  0.0000  0.0000  0.0000  6 La 3.32
Cl  0.0000  0.5000  0.5000  6 La 3.28-3.31
Cl  0.5000  0.0000  0.5000  6 La 3.28-3.31
Cl  0.5000  0.5000  0.0000  6 La 3.28-3.31



No. 8
A plane-wave DFT calculation with GGA-PBE was carried out for a relaxed structure of La6Os2RhCl3.

Computed properties:
Fermi-level density of states   6.83 states/eV/f.u.
Raw formation energy   -1.059 eV/atom

abc: 7.2142 7.2142 7.9936
angles: 98.65 98.65 120.02
Last column: nearest neighbours and their distance in Å.
Atoms (fractional coordinates):
La  0.0922  0.4319  0.7955  2 Os 2.85, 1 Rh 2.90
La  0.2283  0.2283  0.2049  2 Os 2.85, 1 Rh 2.91
La  0.4319  0.0922  0.7955  2 Os 2.85, 1 Rh 2.90
La  0.5681  0.9078  0.2045  2 Os 2.85, 1 Rh 2.90
La  0.7717  0.7717  0.7951  2 Os 2.85, 1 Rh 2.91
La  0.9078  0.5681  0.2045  2 Os 2.85, 1 Rh 2.90
Os  0.1665  0.8335  0.0000  6 La 2.85
Os  0.8335  0.1665  0.0000  6 La 2.85
Rh  0.5000  0.5000  0.0000  6 La 2.90-2.91
Cl  0.0000  0.0000  0.5000  6 La 3.26-3.31
Cl  0.3316  0.6684  0.5000  6 La 3.25-3.32
Cl  0.6684  0.3316  0.5000  6 La 3.25-3.32



No. 9
A plane-wave DFT calculation with GGA-PBE was carried out for a relaxed structure of La4OsRhCl2.

Computed properties:
Fermi-level density of states   3.87 states/eV/f.u.
Raw formation energy   -1.123 eV/atom

abc: 7.1868 4.1655 8.0176
angles: 90.00 107.40 90.00
Last column: nearest neighbours and their distance in Å.
Atoms (fractional coordinates):
La  0.2300  0.0000  0.2061  2 Os 2.86, 1 Rh 2.90
La  0.2593  0.5000  0.7964  1 Os 2.82, 2 Rh 2.88
La  0.7407  0.5000  0.2036  1 Os 2.82, 2 Rh 2.88
La  0.7700  0.0000  0.7939  2 Os 2.86, 1 Rh 2.90
Os  0.0000  0.5000  0.0000  6 La 2.82-2.86
Rh  0.5000  0.0000  0.0000  6 La 2.88-2.90
Cl  0.0000  0.0000  0.5000  6 La 3.26-3.29
Cl  0.5000  0.5000  0.5000  6 La 3.30-3.33



No. 10
A plane-wave DFT calculation with GGA-PBE was carried out for a relaxed structure of La6Os2RuCl3.

Computed properties:
Fermi-level density of states   7.66 states/eV/f.u.
Raw formation energy   -0.942 eV/atom

abc: 7.2268 7.2268 7.9492
angles: 98.72 98.72 119.99
Last column: nearest neighbours and their distance in Å.
Atoms (fractional coordinates):
La  0.0981  0.4320  0.7965  2 Os 2.86, 1 Ru 2.86
La  0.2340  0.2340  0.2036  2 Os 2.86, 1 Ru 2.86
La  0.4320  0.0981  0.7965  2 Os 2.86, 1 Ru 2.86
La  0.5680  0.9019  0.2035  2 Os 2.86, 1 Ru 2.86
La  0.7660  0.7660  0.7964  2 Os 2.86, 1 Ru 2.86
La  0.9019  0.5680  0.2035  2 Os 2.86, 1 Ru 2.86
Os  0.1666  0.8334  0.0000  6 La 2.86
Os  0.8334  0.1666  0.0000  6 La 2.86
Ru  0.5000  0.5000  0.0000  6 La 2.86
Cl  0.0000  0.0000  0.5000  6 La 3.29
Cl  0.3338  0.6662  0.5000  6 La 3.29-3.30
Cl  0.6662  0.3338  0.5000  6 La 3.29-3.30



No. 11
A plane-wave DFT calculation with GGA-PBE was carried out for a relaxed structure of La6OsRu2Cl2.

Computed properties:
Fermi-level density of states   6.85 states/eV/f.u.
Raw formation energy   -0.740 eV/atom

abc: 7.2360 7.2360 7.9012
angles: 98.99 98.99 119.84
Last column: nearest neighbours and their distance in Å.
Atoms (fractional coordinates):
La  0.0608  0.4021  0.2045  2 Ru 2.77-2.89, 1 Os 2.88
La  0.2571  0.2571  0.7994  1 Os 2.80, 2 Ru 2.91
La  0.4021  0.0608  0.2045  2 Ru 2.77-2.89, 1 Os 2.88
La  0.5979  0.9392  0.7955  2 Ru 2.77-2.89, 1 Os 2.88
La  0.7429  0.7429  0.2006  1 Os 2.80, 2 Ru 2.91
La  0.9392  0.5979  0.7955  2 Ru 2.77-2.89, 1 Os 2.88
Os  0.0000  0.0000  0.0000  6 La 2.80-2.88
Ru  0.3288  0.6712  0.0000  6 La 2.77-2.91
Ru  0.6712  0.3288  0.0000  6 La 2.77-2.91
Cl  0.1645  0.8355  0.5000  6 La 3.25-3.27
Cl  0.8355  0.1645  0.5000  6 La 3.25-3.27



Number 1: theoretical density 7.19 g/cm³. Number 2: theoretical density 9.21 g/cm³. Number 3: theoretical density 7.14 g/cm³. Number 4: theoretical density 8.12 g/cm³. Number 5: theoretical density 6.38 g/cm³. Number 6: theoretical density 6.46 g/cm³. Number 7: theoretical density 6.34 g/cm³. Number 8: theoretical density 6.88 g/cm³. Number 9: theoretical density 6.67 g/cm³. Number 10: theoretical density 6.89 g/cm³. Number 11: theoretical density 6.32 g/cm³.